Model one:
Compound: CoReRh2
Source: Alexandria
Functional: PBE
Structure: relaxed

a = 4.5535 Å, b = 4.5535 Å, c = 2.7125 Å
α = 90.00°, β = 90.00°, γ = 90.00°
Atoms (fractional coordinates):
1 Rh 0.5000 0.5000 0.0000
2 Rh 0.0000 0.0000 0.0000
3 Re 0.0000 0.5000 0.5000
4 Co 0.5000 0.0000 0.5000

Calculated values
- D(E_F): 6.07 states/eV/f.u.

***

Model two:
Compound: CoReRh2
Source: Alexandria
Functional: PBE
Structure: relaxed

a = 2.6962 Å, b = 2.6962 Å, c = 7.4538 Å
α = 90.00°, β = 90.00°, γ = 90.00°
Atoms (fractional coordinates):
1 Co 0.0000 0.0000 0.5016
2 Re 0.5000 0.5000 0.7374
3 Rh 0.5000 0.5000 0.2657
4 Rh 0.0000 0.0000 0.9953

Calculated values
- D(E_F): 4.36 states/eV/f.u.

***

Model three:
Compound: CoReRh2
Source: Alexandria
Functional: PBE
Structure: relaxed

a = 4.6288 Å, b = 4.6288 Å, c = 4.6288 Å
α = 131.83°, β = 131.82°, γ = 70.50°
Atoms (fractional coordinates):
1 Re 0.7500 0.2500 0.5000
2 Rh 0.0000 0.0000 0.0000
3 Rh 0.2500 0.7500 0.5000
4 Co 0.5000 0.5000 0.0000

Calculated values
- D(E_F): 4.70 states/eV/f.u.

***

Energies relative to the most stable structure, in kJ/mol of atoms: model one 26.6; model two 0.0; model three 1.8.

***

Model one:
Compound: CoReRh
Source: Alexandria
Functional: PBE
Structure: relaxed

a = 4.3446 Å, b = 4.3445 Å, c = 5.4125 Å
α = 108.27°, β = 90.00°, γ = 120.00°
Atoms (fractional coordinates):
1 Rh 0.3056 0.6111 0.1525
2 Re 0.3217 0.6433 0.6618
3 Co 0.9985 0.9971 0.2872
4 Co 0.0015 0.0029 0.7128
5 Re 0.6783 0.3567 0.3382
6 Rh 0.6944 0.3889 0.8475

Calculated values
- D(E_F): 3.19 states/eV/f.u.

***

Model two:
Compound: CoReRh
Source: Alexandria
Functional: PBE
Structure: relaxed

a = 4.1741 Å, b = 4.1741 Å, c = 2.6592 Å
α = 90.00°, β = 90.00°, γ = 120.00°
Atoms (fractional coordinates):
1 Rh 0.3333 0.6667 0.6668
2 Re 0.6667 0.3333 0.1669
3 Co 0.0000 0.0000 0.1663

Calculated values
- D(E_F): 2.82 states/eV/f.u.

***

Energies relative to the most stable structure, in kJ/mol of atoms: model one 7.7; model two 0.0.

***

Model one:
Compound: CoReRh
Source: Alexandria
Functional: PBE
Structure: relaxed

a = 5.8044 Å, b = 5.8044 Å, c = 2.6939 Å
α = 76.58°, β = 76.58°, γ = 26.84°
Atoms (fractional coordinates):
1 Co 0.9937 0.9937 0.0063
2 Re 0.3408 0.3408 0.6592
3 Rh 0.6655 0.6655 0.3345

Calculated values
- D(E_F): 2.63 states/eV/f.u.

***

Model two:
Compound: CoReRh
Source: Alexandria
Functional: PBE
Structure: relaxed

a = 4.7010 Å, b = 4.7010 Å, c = 4.7010 Å
α = 141.39°, β = 141.39°, γ = 55.74°
Atoms (fractional coordinates):
1 Rh 0.6640 0.6640 0.0000
2 Co 0.9868 0.9868 0.0000
3 Re 0.3492 0.3492 0.0000

Calculated values
- D(E_F): 3.28 states/eV/f.u.

***

Model three:
Compound: CoReRh
Source: Alexandria
Functional: PBE
Structure: relaxed

a = 4.0877 Å, b = 4.0877 Å, c = 4.0877 Å
α = 60.00°, β = 60.00°, γ = 60.00°
Atoms (fractional coordinates):
1 Co 0.0000 0.0000 0.0000
2 Rh 0.7500 0.7500 0.7500
3 Re 0.5000 0.5000 0.5000

Calculated values
- D(E_F): 3.70 states/eV/f.u.

***

Energies relative to the most stable structure, in kJ/mol of atoms: model one 0.0; model two 15.0; model three 72.4.

***

Model one:
Compound: CoReRh3
Source: Alexandria
Functional: PBE
Structure: relaxed

a = 4.3851 Å, b = 4.3851 Å, c = 4.3851 Å
α = 90.00°, β = 90.00°, γ = 90.00°
Atoms (fractional coordinates):
1 Rh 0.0000 0.5000 0.0000
2 Re 0.5000 0.5000 0.5000
3 Co 0.0000 0.0000 0.0000
4 Rh 0.0000 0.0000 0.5000
5 Rh 0.5000 0.0000 0.0000

Calculated values
- D(E_F): 6.52 states/eV/f.u.

***

Model two:
Compound: CoReRh3
Source: Alexandria
Functional: PBE
Structure: relaxed

a = 4.6676 Å, b = 4.6676 Å, c = 4.6676 Å
α = 90.00°, β = 90.00°, γ = 90.00°
Atoms (fractional coordinates):
1 Re 0.0000 0.0000 0.0000
2 Rh 0.5000 0.0000 0.0000
3 Rh 0.0000 0.0000 0.5000
4 Co 0.5000 0.5000 0.5000
5 Rh 0.0000 0.5000 0.0000

Calculated values
- D(E_F): 21.23 states/eV/f.u.

***

Energies relative to the most stable structure, in kJ/mol of atoms: model one 0.0; model two 9.7.

***

Model one:
Compound: CoReRu2
Source: Alexandria
Functional: PBE
Structure: relaxed

a = 5.3212 Å, b = 5.3212 Å, c = 6.6060 Å
α = 66.25°, β = 66.25°, γ = 90.00°
Atoms (fractional coordinates):
1 Co 0.2500 0.7500 0.5000
2 Ru 0.1494 0.6250 0.2500
3 Co 0.5000 0.5000 0.0000
4 Re 0.0000 0.0000 0.0000
5 Ru 0.8750 0.8506 0.7500
6 Ru 0.6006 0.1250 0.2500
7 Ru 0.3750 0.3994 0.7500
8 Re 0.7500 0.2500 0.5000

Calculated values
- D(E_F): 3.96 states/eV/f.u.

***

Model two:
Compound: CoReRu2
Source: Alexandria
Functional: PBE
Structure: relaxed

a = 4.5722 Å, b = 4.5722 Å, c = 4.5722 Å
α = 130.82°, β = 130.82°, γ = 72.09°
Atoms (fractional coordinates):
1 Re 0.7500 0.2500 0.5000
2 Ru 0.5000 0.5000 0.0000
3 Co 0.2500 0.7500 0.5000
4 Ru 0.0000 0.0000 0.0000

Calculated values
- D(E_F): 4.92 states/eV/f.u.

***

Model three:
Compound: CoReRu2
Source: Alexandria
Functional: PBE
Structure: relaxed

a = 4.5814 Å, b = 4.5814 Å, c = 4.6467 Å
α = 80.86°, β = 80.86°, γ = 33.90°
Atoms (fractional coordinates):
1 Re 0.2500 0.2500 0.2500
2 Ru 0.4988 0.4988 0.5105
3 Ru 0.0012 0.0012 0.9895
4 Co 0.7500 0.7500 0.7500

Calculated values
- D(E_F): 5.07 states/eV/f.u.

***

Model four:
Compound: CoReRu2
Source: Alexandria
Functional: PBE
Structure: relaxed

a = 2.6805 Å, b = 2.6805 Å, c = 7.4477 Å
α = 90.00°, β = 90.00°, γ = 90.00°
Atoms (fractional coordinates):
1 Ru 0.0000 0.0000 0.0056
2 Re 0.5000 0.5000 0.7352
3 Co 0.0000 0.0000 0.5028
4 Ru 0.5000 0.5000 0.2565

Calculated values
- D(E_F): 4.89 states/eV/f.u.

***

Energies relative to the most stable structure, in kJ/mol of atoms: model one 109.0; model two 0.0; model three 2.9; model four 3.9.

***

Model one:
Compound: CoReRu2
Source: Alexandria
Functional: PBE
Structure: relaxed

a = 3.7374 Å, b = 3.7777 Å, c = 3.7777 Å
α = 90.00°, β = 90.00°, γ = 90.00°
Atoms (fractional coordinates):
1 Ru 0.0000 0.0000 0.0000
2 Ru 0.0000 0.5000 0.5000
3 Re 0.5000 0.0000 0.5000
4 Co 0.5000 0.5000 0.0000

Calculated values
- D(E_F): 4.16 states/eV/f.u.

***

Model two:
Compound: CoReRu2
Source: Alexandria
Functional: PBE
Structure: relaxed

a = 4.6121 Å, b = 4.6121 Å, c = 4.6136 Å
α = 80.44°, β = 80.44°, γ = 33.85°
Atoms (fractional coordinates):
1 Co 0.5011 0.5011 0.4944
2 Ru 0.7510 0.7510 0.7478
3 Ru 0.0010 0.0010 0.9970
4 Re 0.2470 0.2470 0.2608

Calculated values
- D(E_F): 5.18 states/eV/f.u.

***

Energies relative to the most stable structure, in kJ/mol of atoms: model one 0.0; model two 4.9.

***

Model one:
Compound: CoReRu
Source: Alexandria
Functional: PBE
Structure: relaxed

a = 5.8317 Å, b = 5.8317 Å, c = 5.8317 Å
α = 153.47°, β = 153.47°, γ = 37.87°
Atoms (fractional coordinates):
1 Co 0.9979 0.9979 0.0000
2 Re 0.3391 0.3391 0.0000
3 Ru 0.6630 0.6630 0.0000

Calculated values
- D(E_F): 3.06 states/eV/f.u.

***

Model two:
Compound: CoReRu
Source: Alexandria
Functional: PBE
Structure: relaxed

a = 4.5871 Å, b = 4.5871 Å, c = 4.5871 Å
α = 145.96°, β = 132.01°, γ = 60.14°
Atoms (fractional coordinates):
1 Co 0.9999 0.9999 0.0000
2 Ru 0.6640 0.6640 0.0000
3 Re 0.3361 0.3361 0.0000

Calculated values
- D(E_F): 3.74 states/eV/f.u.

***

Energies relative to the most stable structure, in kJ/mol of atoms: model one 3.6; model two 0.0.

***

Model one:
Compound: CoReRu
Source: Alexandria
Functional: PBE
Structure: relaxed

a = 5.7936 Å, b = 2.6718 Å, c = 7.1899 Å
α = 90.00°, β = 48.18°, γ = 90.00°
Atoms (fractional coordinates):
1 Co 0.7319 0.7500 0.3191
2 Ru 0.2275 0.2500 0.0773
3 Co 0.2681 0.2500 0.6809
4 Ru 0.7725 0.7500 0.9227
5 Re 0.2686 0.7500 0.3773
6 Re 0.7314 0.2500 0.6227

Calculated values
- D(E_F): 3.74 states/eV/f.u.

***

Model two:
Compound: CoReRu
Source: Alexandria
Functional: PBE
Structure: relaxed

a = 2.6921 Å, b = 2.6921 Å, c = 6.4276 Å
α = 90.00°, β = 90.00°, γ = 120.00°
Atoms (fractional coordinates):
1 Ru 0.3333 0.6667 0.6700
2 Re 0.6667 0.3333 0.3287
3 Co 0.0000 0.0000 0.0013

Calculated values
- D(E_F): 3.16 states/eV/f.u.

***

Model three:
Compound: CoReRu
Source: Alexandria
Functional: PBE
Structure: relaxed

a = 6.9407 Å, b = 6.7169 Å, c = 2.6479 Å
α = 83.62°, β = 74.10°, γ = 22.28°
Atoms (fractional coordinates):
1 Ru 0.6641 0.6641 0.3359
2 Co 0.9994 0.9994 0.0006
3 Re 0.3365 0.3365 0.6635

Calculated values
- D(E_F): 4.38 states/eV/f.u.

***

Energies relative to the most stable structure, in kJ/mol of atoms: model one 17.4; model two 0.0; model three 23.4.